{"formula": "Li6V3P8O29", "functional": "GGA+U", "state": "optimized geometry", "final_energy_ev_per_atom": -7.0220, "lattice": [[9.812, 0.001, 0.090], [4.880, 8.512, 0.090], [0.253, 0.147, 14.016]], "species": ["Li", "Li", "Li", "Li", "Li", "Li", "Li", "Li", "Li", "Li", "Li", "Li", "V", "V", "V", "V", "V", "V", "P", "P", "P", "P", "P", "P", "P", "P", "P", "P", "P", "P", "P", "P", "P", "P", "O", "O", "O", "O", "O", "O", "O", "O", "O", "O", "O", "O", "O", "O", "O", "O", "O", "O", "O", "O", "O", "O", "O", "O", "O", "O", "O", "O", "O", "O", "O", "O", "O", "O", "O", "O", "O", "O", "O", "O", "O", "O", "O", "O", "O", "O", "O", "O", "O", "O", "O", "O", "O", "O", "O", "O", "O", "O"], "fractional_positions": [[0.368, 0.875, 0.948], [0.311, 0.776, 0.435], [0.767, 0.913, 0.447], [0.913, 0.767, 0.947], [0.776, 0.311, 0.935], [0.059, 0.725, 0.561], [0.875, 0.368, 0.448], [0.299, 0.328, 0.399], [0.328, 0.299, 0.899], [0.725, 0.059, 0.061], [0.071, 0.970, 0.003], [0.970, 0.071, 0.503], [0.005, 0.553, 0.762], [0.995, 0.441, 0.231], [0.431, 0.567, 0.253], [0.567, 0.431, 0.753], [0.441, 0.995, 0.731], [0.553, 0.005, 0.262], [0.314, 0.916, 0.161], [0.320, 0.765, 0.652], [0.787, 0.917, 0.657], [0.661, 0.669, 0.866], [0.669, 0.661, 0.366], [0.917, 0.787, 0.157], [0.086, 0.675, 0.341], [0.765, 0.320, 0.152], [0.226, 0.690, 0.842], [0.916, 0.314, 0.661], [0.102, 0.192, 0.838], [0.331, 0.341, 0.634], [0.341, 0.331, 0.134], [0.192, 0.102, 0.338], [0.690, 0.226, 0.342], [0.675, 0.086, 0.841], [0.178, 0.003, 0.416], [0.344, 0.907, 0.651], [0.226, 0.791, 0.919], [0.334, 0.751, 0.181], [0.471, 0.909, 0.182], [0.557, 0.797, 0.790], [0.620, 0.946, 0.643], [0.757, 0.988, 0.927], [0.744, 0.909, 0.178], [0.510, 0.672, 0.341], [0.475, 0.614, 0.672], [0.644, 0.833, 0.353], [0.594, 0.727, 0.964], [0.727, 0.594, 0.464], [0.833, 0.644, 0.853], [0.614, 0.475, 0.172], [0.672, 0.510, 0.841], [0.909, 0.744, 0.678], [0.012, 0.787, 0.249], [0.988, 0.757, 0.427], [0.969, 0.847, 0.070], [0.946, 0.620, 0.143], [0.797, 0.557, 0.290], [0.087, 0.657, 0.852], [0.909, 0.471, 0.682], [0.751, 0.334, 0.681], [0.202, 0.781, 0.741], [0.237, 0.761, 0.564], [0.791, 0.226, 0.419], [0.253, 0.652, 0.349], [0.099, 0.515, 0.324], [0.907, 0.344, 0.151], [0.183, 0.484, 0.684], [0.111, 0.348, 0.838], [0.003, 0.178, 0.916], [0.975, 0.251, 0.563], [0.030, 0.186, 0.737], [0.053, 0.272, 0.336], [0.332, 0.478, 0.177], [0.379, 0.528, 0.833], [0.191, 0.325, 0.171], [0.361, 0.316, 0.028], [0.316, 0.361, 0.528], [0.325, 0.191, 0.671], [0.528, 0.379, 0.333], [0.478, 0.332, 0.677], [0.272, 0.053, 0.836], [0.186, 0.030, 0.237], [0.251, 0.975, 0.063], [0.348, 0.111, 0.338], [0.484, 0.183, 0.184], [0.515, 0.099, 0.824], [0.652, 0.253, 0.849], [0.761, 0.237, 0.064], [0.781, 0.202, 0.241], [0.657, 0.087, 0.352], [0.847, 0.969, 0.570], [0.787, 0.012, 0.749]]}